Material: SrP2PbO
Method: DFT, PBE
State: optimized geometry

Values from the calculation:
For the magnetic moment, the calculation gives 3.042 μB/f.u. The calculation puts the energy relative to the elements, uncorrected at 444 meV/atom. The calculation puts the density of states at the Fermi level at 4.69 states/eV per cell. The value obtained for the energy relative to the lowest polymorph listed for this composition is 0.473 eV per atom. The space group is P4/mmm, No. 123.

Cell: 5.839 5.839 4.468 Å, 90.00 90.00 90.00°
Fractional positions:
Sr 0.000 0.000 0.000
Pb 0.500 0.500 0.500
P 0.000 0.500 0.000
P 0.500 0.000 0.000
O 0.000 0.000 0.500

Material: Sr2PRh
Method: DFT, PBE
State: optimized geometry

Values from the calculation:
For the magnetic moment, the calculation gives 0.000 μB/f.u. The value obtained for the energy relative to the elements is -61 kJ per mole of atoms. The calculation puts the density of states at the Fermi level at 2.07 states/eV per cell. The space group is Imm2, No. 44.

Cell: 7.332 7.332 7.332 Å, 149.82 143.88 47.76°
Fractional positions:
P 0.577 0.577 0.000
Sr 0.998 0.998 0.000
Sr 0.247 0.747 0.500
Rh 0.677 0.177 0.500

Material: Na5Nd3Cl12
Method: DFT, PBE
State: optimized geometry

Values from the calculation:
For the magnetic moment, the calculation gives 2.035 μB/f.u. The calculation puts the energy relative to the elements, uncorrected at -1831 meV/atom. The calculation puts the density of states at the Fermi level at 34.27 states/eV per cell. The space group is Ia-3d, No. 230.

Cell: 14.110 14.110 14.110 Å, 109.47 109.47 109.47°
Fractional positions:
Cl 0.084 0.175 0.450
Cl 0.825 0.916 0.050
Cl 0.866 0.590 0.916
Cl 0.584 0.634 0.410
Cl 0.634 0.050 0.224
Cl 0.366 0.950 0.776
Cl 0.550 0.325 0.916
Cl 0.050 0.416 0.825
Cl 0.175 0.090 0.724
Cl 0.450 0.776 0.866
Cl 0.910 0.825 0.776
Cl 0.776 0.325 0.910
Cl 0.950 0.366 0.276
Cl 0.675 0.450 0.584
Cl 0.825 0.910 0.276
Cl 0.550 0.224 0.134
Cl 0.410 0.134 0.584
Cl 0.084 0.910 0.134
Cl 0.724 0.590 0.175
Cl 0.410 0.276 0.325
Cl 0.276 0.866 0.950
Cl 0.866 0.276 0.450
Cl 0.916 0.090 0.866
Cl 0.950 0.584 0.175
Cl 0.090 0.175 0.224
Cl 0.090 0.916 0.366
Cl 0.450 0.675 0.084
Cl 0.276 0.410 0.825
Cl 0.224 0.675 0.090
Cl 0.325 0.776 0.410
Cl 0.134 0.410 0.084
Cl 0.366 0.416 0.090
Cl 0.325 0.550 0.416
Cl 0.134 0.724 0.550
Cl 0.675 0.224 0.590
Cl 0.584 0.950 0.675
Cl 0.416 0.366 0.590
Cl 0.776 0.450 0.366
Cl 0.916 0.825 0.550
Cl 0.416 0.050 0.325
Cl 0.910 0.084 0.634
Cl 0.590 0.866 0.416
Cl 0.175 0.084 0.950
Cl 0.634 0.584 0.910
Cl 0.050 0.634 0.724
Cl 0.590 0.724 0.675
Cl 0.224 0.550 0.634
Cl 0.724 0.134 0.050
Nd 0.125 0.250 0.875
Nd 0.875 0.750 0.125
Nd 0.750 0.875 0.625
Nd 0.250 0.125 0.375
Nd 0.625 0.375 0.750
Nd 0.375 0.625 0.250
Nd 0.125 0.875 0.750
Nd 0.250 0.625 0.875
Nd 0.625 0.250 0.375
Nd 0.875 0.125 0.250
Nd 0.750 0.375 0.125
Nd 0.375 0.750 0.625
Na 0.375 0.125 0.750
Na 0.250 0.375 0.625
Na 0.750 0.125 0.875
Na 0.000 0.500 0.500
Na 0.000 0.500 0.000
Na 0.625 0.875 0.250
Na 0.375 0.250 0.125
Na 0.125 0.750 0.375
Na 0.000 0.000 0.500
Na 0.125 0.375 0.250
Na 0.500 0.000 0.500
Na 0.000 0.000 0.000
Na 0.250 0.875 0.125
Na 0.625 0.750 0.875
Na 0.875 0.250 0.625
Na 0.500 0.500 0.000
Na 0.750 0.625 0.375
Na 0.875 0.625 0.750
Na 0.500 0.000 0.000
Na 0.500 0.500 0.500